HfCoB2O GGA+U relaxed; uncorrected energy = -5.87 eV per atom; size of the total moment = 2.370 Bohr magnetons per cell
1.0
4.639 0.000 0.000
0.000 4.639 0.000
0.000 0.000 3.936
Hf Co B O
1 1 2 1
Direct
0.000 0.000 0.000 Hf
0.500 0.500 0.500 Co
0.000 0.500 0.000 B
0.500 0.000 0.000 B
0.000 0.000 0.500 O